Entry 1:
The following is a DFT calculation (PBE-GGA) of crystalline TlGe2B at its relaxed geometry.

Its space group is No. 225.

Lattice parameters (Å, degrees): 4.7859 4.7859 4.7859 60.00 60.00 60.00
Fractional coordinates of all 4 atoms:
1 Tl 0.0000 0.0000 0.0000
2 Ge 0.2500 0.2500 0.2500
3 Ge 0.7500 0.7500 0.7500
4 B 0.5000 0.5000 0.5000

***

Entry 2:
The following is a DFT calculation (PBE-GGA) of crystalline BaLi2Ca2 at its relaxed geometry.

Its space group is No. 65.

Lattice parameters (Å, degrees): 11.7851 11.7851 3.9433 90.00 90.00 159.60
Fractional coordinates of all 5 atoms:
1 Ba 0.0000 0.0000 0.0000
2 Li 0.3975 0.6025 0.5000
3 Li 0.6025 0.3975 0.5000
4 Ca 0.1812 0.8188 0.0000
5 Ca 0.8188 0.1812 0.0000

***

Entry 3:
The following is a DFT calculation (PBE-GGA) of crystalline ScTa2Fe at its relaxed geometry.

Its space group is No. 10.

Lattice parameters (Å, degrees): 2.9615 4.4169 5.3718 90.00 103.50 90.00
Fractional coordinates of all 4 atoms:
1 Sc 0.0000 0.0000 0.0000
2 Ta 0.2978 0.5000 0.7324
3 Ta 0.7022 0.5000 0.2676
4 Fe 0.5000 0.0000 0.5000

***

Entry 4:
The following is a DFT calculation (PBE-GGA) of crystalline NiAgAs2 at its relaxed geometry.

Its space group is No. 6.

Lattice parameters (Å, degrees): 2.8174 4.0060 6.5646 90.00 90.50 90.00
Fractional coordinates of all 4 atoms:
1 Ni 0.0000 0.0000 0.0000
2 Ag 0.5060 0.5000 0.1880
3 As 0.0045 0.5000 0.8015
4 As 0.0093 0.0000 0.3828

***

Number 1: N(E_F) 1.9 states/eV/cell, relative energy among the computed polymorphs 0.703 eV per atom. Number 2: N(E_F) 5.8 states/eV/cell, relative energy among the computed polymorphs 0.062 eV per atom. Number 3: N(E_F) 4.1 states/eV/cell, relative energy among the computed polymorphs 0.164 eV per atom. Number 4: N(E_F) 3.2 states/eV/cell, relative energy among the computed polymorphs 0.161 eV per atom.